Record 1
## PmSm5HoSc2 (PBE-GGA)

Data for crystalline PmSm5HoSc2 at its relaxed geometry.

## Properties
space group: Cmc2_1

a b c (Å): 5.669 11.245 9.454
angles (deg): 90.00 90.00 104.60
Element x y z (fractional)
1 Sm 0.989 0.979 0.511
2 Sc 0.133 0.266 0.706
3 Sm 0.733 0.466 0.829
4 Sm 0.305 0.609 0.716
5 Sm 0.011 0.021 0.011
6 Sm 0.608 0.216 0.547
7 Sm 0.267 0.534 0.329
8 Ho 0.598 0.195 0.919
9 Sm 0.392 0.784 0.047
10 Sc 0.886 0.771 0.830
11 Ho 0.402 0.805 0.419
12 Pm 0.817 0.634 0.520
13 Sm 0.467 0.935 0.748
14 Sm 0.533 0.065 0.248
15 Sc 0.867 0.734 0.206
16 Sc 0.114 0.229 0.330
17 Sm 0.695 0.391 0.216
18 Pm 0.183 0.366 0.020

=====

Record 2
## Tb4DyTl7 (PBE-GGA)

Data for crystalline Tb4DyTl7 at its relaxed geometry.

## Properties
space group: C2/m

a b c (Å): 5.666 9.954 7.329
angles (deg): 81.21 67.26 73.47
Element x y z (fractional)
1 Tl 0.918 0.325 0.840
2 Tl 0.082 0.675 0.160
3 Tl 0.500 0.000 0.000
4 Dy 0.000 0.000 0.000
5 Tl 0.367 0.542 0.723
6 Tb 0.721 0.672 0.886
7 Tl 0.215 0.103 0.468
8 Tb 0.414 0.783 0.388
9 Tb 0.586 0.217 0.612
10 Tl 0.633 0.458 0.277
11 Tb 0.279 0.328 0.114
12 Tl 0.785 0.897 0.532

=====

Record 3
## Cs3CaV2Cl9 (PBE-GGA)

Data for crystalline Cs3CaV2Cl9 at its relaxed geometry.

## Properties
space group: P-3m1
formation energy (no corrections): -1.732 eV/atom

a b c (Å): 7.351 7.351 9.012
angles (deg): 90.00 90.00 120.00
Last column: magnetic moment on the atom in μB.
Element x y z (fractional)
1 Cl 0.000 0.500 0.000  0.00
2 Cl 0.174 0.826 0.323  -0.01
3 Cl 0.651 0.826 0.323  -0.01
4 Cl 0.826 0.174 0.677  -0.01
5 Ca 0.000 0.000 0.500  0.00
6 Cs 0.333 0.667 0.673  0.00
7 Cl 0.500 0.000 0.000  0.00
8 V 0.333 0.667 0.160  2.61
9 Cs 0.000 0.000 0.000  0.00
10 V 0.667 0.333 0.840  2.61
11 Cl 0.174 0.349 0.323  -0.01
12 Cl 0.500 0.500 0.000  0.00
13 Cl 0.826 0.651 0.677  -0.01
14 Cs 0.667 0.333 0.327  0.00
15 Cl 0.349 0.174 0.677  -0.01

=====

Record 4
## Sm3TmAg2 (PBE-GGA)

Data for crystalline Sm3TmAg2 at its relaxed geometry.

## Properties
space group: Pmc2_1

a b c (Å): 5.185 6.940 9.291
angles (deg): 90.00 90.00 90.00
Element x y z (fractional)
1 Tm 0.500 0.512 0.559
2 Sm 0.000 0.990 0.061
3 Tm 0.500 0.012 0.441
4 Sm 0.500 0.659 0.172
5 Sm 0.000 0.340 0.334
6 Ag 0.500 0.727 0.843
7 Ag 0.000 0.773 0.349
8 Sm 0.500 0.159 0.828
9 Ag 0.000 0.273 0.651
10 Ag 0.500 0.227 0.157
11 Sm 0.000 0.840 0.666
12 Sm 0.000 0.490 0.939

=====

Record 5
## LaTlF2 (PBE-GGA)

Data for crystalline LaTlF2 at its relaxed geometry.

## Properties
space group: Fm-3m
formation energy (no corrections): -1.919 eV/atom

a b c (Å): 4.780 4.780 4.780
angles (deg): 60.00 60.00 60.00
Element x y z (fractional)
1 F 0.250 0.250 0.250
2 F 0.750 0.750 0.750
3 Tl 0.500 0.500 0.500
4 La 0.000 0.000 0.000

=====

Record 6
## BaHfS3 (PBE-GGA)

Data for crystalline BaHfS3 at its relaxed geometry.

## Properties
space group: R-3
formation energy (no corrections): -1.787 eV/atom

a b c (Å): 7.756 7.756 7.756
angles (deg): 52.63 52.63 52.63
Element x y z (fractional)
1 S 0.507 0.070 0.654
2 S 0.930 0.346 0.493
3 Hf 0.663 0.663 0.663
4 Ba 0.872 0.872 0.872
5 S 0.346 0.493 0.930
6 Ba 0.128 0.128 0.128
7 S 0.654 0.507 0.070
8 Hf 0.337 0.337 0.337
9 S 0.493 0.930 0.346
10 S 0.070 0.654 0.507

=====

Record 7
## LaBeAs (PBE-GGA)

Data for crystalline LaBeAs at its relaxed geometry.

## Properties
space group: Imm2

a b c (Å): 5.829 5.829 5.829
angles (deg): 144.38 148.05 48.59
Element x y z (fractional)
1 Be 0.373 0.373 0.000
2 La 0.670 0.670 0.000
3 As 0.957 0.957 0.000

=====

Record 8
## Na3SrPb (PBE-GGA)

Data for crystalline Na3SrPb at its relaxed geometry.

## Properties
space group: Pm-3m

a b c (Å): 6.246 6.246 6.246
angles (deg): 90.00 90.00 90.00
Element x y z (fractional)
1 Na 0.000 0.500 0.000
2 Pb 0.500 0.500 0.500
3 Sr 0.000 0.000 0.000
4 Na 0.500 0.000 0.000
5 Na 0.000 0.000 0.500

=====

Calculated total DFT energy (no corrections) (eV/cell), listed in the same order as above: -88.19 -41.14 -65.40 -50.71 -18.71 -66.39 -14.06 -5.76